Entry 1:
{"formula": "SrPd3O6", "functional": "PBE", "state": "relaxed", "final_energy_ev_per_fu": -55.23, "sg": "No. 11", "e_form_raw_ev_per_atom": -0.82, "lattice_angstrom": [[8.1038, 0.0000, 0.0000], [0.0000, 3.1421, 0.0000], [-2.9501, 0.0000, 9.9471]], "species": ["Sr", "Sr", "Pd", "Pd", "Pd", "Pd", "Pd", "Pd", "O", "O", "O", "O", "O", "O", "O", "O", "O", "O", "O", "O"], "fractional_positions": [[0.0316, 0.2500, 0.1925], [0.9684, 0.7500, 0.8075], [0.1633, 0.2500, 0.5687], [0.3478, 0.7500, 0.0394], [0.4464, 0.2500, 0.3304], [0.5536, 0.7500, 0.6696], [0.6522, 0.2500, 0.9606], [0.8367, 0.7500, 0.4313], [0.0930, 0.7500, 0.4297], [0.1694, 0.2500, 0.9745], [0.2010, 0.7500, 0.6949], [0.2897, 0.7500, 0.2276], [0.4118, 0.2500, 0.5692], [0.4849, 0.7500, 0.8936], [0.5151, 0.2500, 0.1064], [0.5882, 0.7500, 0.4308], [0.7103, 0.2500, 0.7724], [0.7990, 0.2500, 0.3051], [0.8306, 0.7500, 0.0255], [0.9070, 0.2500, 0.5703]]}

***

Entry 2:
{"formula": "La2PtAuSe", "functional": "PBE", "state": "relaxed", "final_energy_ev_per_fu": -26.64, "sg": "No. 123", "e_form_raw_ev_per_atom": -0.80, "lattice_angstrom": [[5.5335, 0.0000, 0.0000], [0.0000, 5.5335, 0.0000], [0.0000, 0.0000, 5.0582]], "species": ["La", "La", "Pt", "Au", "Se"], "fractional_positions": [[0.0000, 0.5000, 0.0000], [0.5000, 0.0000, 0.0000], [0.0000, 0.0000, 0.0000], [0.0000, 0.0000, 0.5000], [0.5000, 0.5000, 0.5000]]}

***

Entry 3:
{"formula": "YTlSb2", "functional": "PBE", "state": "relaxed", "final_energy_ev_per_fu": -17.74, "sg": "No. 216", "e_form_raw_ev_per_atom": -0.17, "lattice_angstrom": [[7.6763, 0.0000, 0.0000], [0.0000, 7.6763, 0.0000], [0.0000, 0.0000, 7.6763]], "species": ["Y", "Y", "Y", "Y", "Tl", "Tl", "Tl", "Tl", "Sb", "Sb", "Sb", "Sb", "Sb", "Sb", "Sb", "Sb"], "fractional_positions": [[0.0000, 0.0000, 0.0000], [0.0000, 0.5000, 0.5000], [0.5000, 0.0000, 0.5000], [0.5000, 0.5000, 0.0000], [0.2500, 0.2500, 0.2500], [0.2500, 0.7500, 0.7500], [0.7500, 0.2500, 0.7500], [0.7500, 0.7500, 0.2500], [0.0000, 0.0000, 0.5000], [0.0000, 0.5000, 0.0000], [0.2500, 0.2500, 0.7500], [0.2500, 0.7500, 0.2500], [0.5000, 0.0000, 0.0000], [0.5000, 0.5000, 0.5000], [0.7500, 0.2500, 0.2500], [0.7500, 0.7500, 0.7500]]}

***

Entry 4:
{"formula": "BiRuBr2", "functional": "PBE", "state": "relaxed", "final_energy_ev_per_fu": -14.52, "sg": "No. 166", "e_form_raw_ev_per_atom": 0.50, "lattice_angstrom": [[3.4577, 0.0000, 0.0000], [-1.7289, 2.9945, 0.0000], [0.0000, 0.0000, 29.7535]], "species": ["Bi", "Bi", "Bi", "Ru", "Ru", "Ru", "Br", "Br", "Br", "Br", "Br", "Br"], "fractional_positions": [[0.0000, 0.0000, 0.0000], [0.3333, 0.6667, 0.6667], [0.6667, 0.3333, 0.3333], [0.0000, 0.0000, 0.5000], [0.3333, 0.6667, 0.1667], [0.6667, 0.3333, 0.8333], [0.0000, 0.0000, 0.4189], [0.0000, 0.0000, 0.5811], [0.3333, 0.6667, 0.0856], [0.3333, 0.6667, 0.2478], [0.6667, 0.3333, 0.7522], [0.6667, 0.3333, 0.9144]]}

***

Entry 5:
{"formula": "CaEuZrTiO6", "functional": "PBE", "state": "relaxed", "final_energy_ev_per_fu": -89.37, "sg": "No. 216", "e_form_raw_ev_per_atom": -3.09, "lattice_angstrom": [[0.0000, 4.0411, 4.0411], [4.0411, 0.0000, 4.0411], [4.0411, 4.0411, 0.0000]], "species": ["Ca", "Eu", "Zr", "Ti", "O", "O", "O", "O", "O", "O"], "fractional_positions": [[0.0000, 0.0000, 0.0000], [0.5000, 0.5000, 0.5000], [0.7500, 0.7500, 0.7500], [0.2500, 0.2500, 0.2500], [0.0077, 0.0077, 0.4923], [0.0077, 0.4923, 0.0077], [0.0077, 0.4923, 0.4923], [0.4923, 0.0077, 0.0077], [0.4923, 0.0077, 0.4923], [0.4923, 0.4923, 0.0077]]}

***

Entry 6:
{"formula": "Zr2PdO", "functional": "PBE", "state": "relaxed", "final_energy_ev_per_fu": -32.54, "sg": "No. 122", "e_form_raw_ev_per_atom": -1.32, "lattice_angstrom": [[6.3128, 0.0000, 0.0000], [0.0000, 6.3128, 0.0000], [0.0000, 0.0000, 7.2157]], "species": ["Zr", "Zr", "Zr", "Zr", "Zr", "Zr", "Zr", "Zr", "Pd", "Pd", "Pd", "Pd", "O", "O", "O", "O"], "fractional_positions": [[0.1755, 0.2500, 0.1250], [0.2500, 0.6755, 0.3750], [0.2500, 0.8245, 0.8750], [0.3245, 0.2500, 0.6250], [0.6755, 0.7500, 0.6250], [0.7500, 0.1755, 0.8750], [0.7500, 0.3245, 0.3750], [0.8245, 0.7500, 0.1250], [0.0000, 0.0000, 0.5000], [0.0000, 0.5000, 0.7500], [0.5000, 0.0000, 0.2500], [0.5000, 0.5000, 0.0000], [0.0000, 0.0000, 0.0000], [0.0000, 0.5000, 0.2500], [0.5000, 0.0000, 0.7500], [0.5000, 0.5000, 0.5000]]}

***

Entry 7:
{"formula": "Ca2WBr", "functional": "PBE", "state": "relaxed", "final_energy_ev_per_fu": -18.19, "sg": "No. 166", "e_form_raw_ev_per_atom": 0.11, "lattice_angstrom": [[3.5129, 0.0000, 0.0000], [-1.7564, 3.0422, 0.0000], [0.0000, 0.0000, 27.7193]], "species": ["Ca", "Ca", "Ca", "Ca", "Ca", "Ca", "W", "W", "W", "Br", "Br", "Br"], "fractional_positions": [[0.0000, 0.0000, 0.2495], [0.0000, 0.0000, 0.7505], [0.3333, 0.6667, 0.4172], [0.3333, 0.6667, 0.9161], [0.6667, 0.3333, 0.0839], [0.6667, 0.3333, 0.5828], [0.0000, 0.0000, 0.5000], [0.3333, 0.6667, 0.1667], [0.6667, 0.3333, 0.8333], [0.0000, 0.0000, 0.0000], [0.3333, 0.6667, 0.6667], [0.6667, 0.3333, 0.3333]]}

***

Entry 8:
{"formula": "Pm4YTh3N8", "functional": "PBE", "state": "relaxed", "final_energy_ev_per_fu": -139.29, "sg": "No. 166", "e_form_raw_ev_per_atom": -1.56, "lattice_angstrom": [[3.6216, 2.0910, 5.9048], [-3.6216, 2.0910, 5.9048], [0.0000, -4.1819, 5.9048]], "species": ["Pm", "Pm", "Pm", "Pm", "Y", "Th", "Th", "Th", "N", "N", "N", "N", "N", "N", "N", "N"], "fractional_positions": [[0.0000, 0.0000, 0.0000], [0.0000, 0.5000, 0.5000], [0.5000, 0.0000, 0.5000], [0.5000, 0.5000, 0.0000], [0.5000, 0.5000, 0.5000], [0.0000, 0.0000, 0.5000], [0.0000, 0.5000, 0.0000], [0.5000, 0.0000, 0.0000], [0.2457, 0.7466, 0.7466], [0.2469, 0.2469, 0.2469], [0.2534, 0.2534, 0.7543], [0.2534, 0.7543, 0.2534], [0.7466, 0.2457, 0.7466], [0.7466, 0.7466, 0.2457], [0.7531, 0.7531, 0.7531], [0.7543, 0.2534, 0.2534]]}

***

Entry 9:
{"formula": "Nd8Tl2Rh", "functional": "PBE", "state": "relaxed", "final_energy_ev_per_fu": -53.04, "sg": "No. 12", "lattice_angstrom": [[9.5815, -2.5844, 0.0000], [9.5815, 2.5844, 0.0000], [-1.3030, 0.0000, 6.9423]], "species": ["Nd", "Nd", "Nd", "Nd", "Nd", "Nd", "Nd", "Nd", "Tl", "Tl", "Rh"], "fractional_positions": [[0.0158, 0.0158, 0.2756], [0.2075, 0.2075, 0.8138], [0.3549, 0.3549, 0.5127], [0.4101, 0.4101, 0.0361], [0.5899, 0.5899, 0.9639], [0.6451, 0.6451, 0.4873], [0.7925, 0.7925, 0.1862], [0.9842, 0.9842, 0.7244], [0.1864, 0.1864, 0.2566], [0.8136, 0.8136, 0.7434], [0.5000, 0.5000, 0.5000]]}

***

Entry 10:
{"formula": "Zn2InCuTc", "functional": "PBE", "state": "relaxed", "final_energy_ev_per_fu": -16.39, "sg": "No. 123", "lattice_angstrom": [[4.4461, 0.0000, 0.0000], [0.0000, 4.4461, 0.0000], [0.0000, 0.0000, 4.7983]], "species": ["Zn", "Zn", "In", "Cu", "Tc"], "fractional_positions": [[0.0000, 0.5000, 0.0000], [0.5000, 0.0000, 0.0000], [0.0000, 0.0000, 0.5000], [0.5000, 0.5000, 0.0000], [0.5000, 0.5000, 0.5000]]}

***

Entry 11:
{"formula": "Na3Ge4Rh2", "functional": "PBE", "state": "relaxed", "final_energy_ev_per_fu": -39.14, "sg": "No. 12", "lattice_angstrom": [[5.6255, -2.0849, 0.0000], [5.6255, 2.0849, 0.0000], [-3.4065, 0.0000, 8.0441]], "species": ["Na", "Na", "Na", "Ge", "Ge", "Ge", "Ge", "Rh", "Rh"], "fractional_positions": [[0.0000, 0.0000, 0.0000], [0.3910, 0.3910, 0.6392], [0.6090, 0.6090, 0.3608], [0.1080, 0.1080, 0.6228], [0.3035, 0.3035, 0.9457], [0.6965, 0.6965, 0.0543], [0.8920, 0.8920, 0.3772], [0.2999, 0.2999, 0.2261], [0.7001, 0.7001, 0.7739]]}

***

Entry 12:
{"formula": "LaIr2Os", "functional": "PBE", "state": "relaxed", "final_energy_ev_per_fu": -32.68, "sg": "No. 119", "lattice_angstrom": [[4.1557, 0.0000, 0.0000], [0.0000, 4.1557, 0.0000], [0.0000, 0.0000, 8.2906]], "species": ["La", "La", "Ir", "Ir", "Ir", "Ir", "Os", "Os"], "fractional_positions": [[0.0000, 0.0000, 0.0000], [0.5000, 0.5000, 0.5000], [0.0000, 0.0000, 0.5000], [0.0000, 0.5000, 0.2500], [0.5000, 0.0000, 0.7500], [0.5000, 0.5000, 0.0000], [0.0000, 0.5000, 0.7500], [0.5000, 0.0000, 0.2500]]}